# meta-GGA SCAN ReMoAs2, PBEsol geometry
data_ReMoAs2
_chemical_formula_sum 'Re1 Mo1 As2'
_cell_length_a 4.344
_cell_length_b 4.344
_cell_length_c 3.061
_cell_angle_alpha 90.00
_cell_angle_beta 90.00
_cell_angle_gamma 90.00
_symmetry_space_group_name_H-M 'P 4/m m m'
_symmetry_Int_Tables_number 123
_symmetry_space_group_name_Hall '-P 4 2'
loop_
_atom_site_label
_atom_site_type_symbol
_atom_site_fract_x
_atom_site_fract_y
_atom_site_fract_z
Re1 Re 0.000 0.000 0.000
Mo1 Mo 0.500 0.500 0.000
As1 As 0.000 0.500 0.500
# Energy above the most stable polymorph in this dataset   0 meV per atom
# Spin magnetization   0.000 μB/atom
# Formation enthalpy at 0 K   0.5 eV/f.u.
# V   57.8 Å³/cell
# ρ   12.42 g cm⁻³

=====

# meta-GGA SCAN Sr2NiIr, PBEsol geometry
data_Sr2NiIr
_chemical_formula_sum 'Sr4 Ni2 Ir2'
_cell_length_a 4.167
_cell_length_b 4.341
_cell_length_c 12.959
_cell_angle_alpha 90.00
_cell_angle_beta 90.00
_cell_angle_gamma 90.00
_symmetry_space_group_name_H-M 'I m m 2'
_symmetry_Int_Tables_number 44
_symmetry_space_group_name_Hall 'I 2 -2'
loop_
_atom_site_label
_atom_site_type_symbol
_atom_site_fract_x
_atom_site_fract_y
_atom_site_fract_z
Sr1 Sr 0.000 0.000 0.000
Sr2 Sr 0.000 0.500 0.256
Ni1 Ni 0.000 0.000 0.416
Ir1 Ir 0.000 0.500 0.844
# Spin magnetization   0.117 μB/atom
# Formation enthalpy at 0 K   -0.2 eV/f.u.
# V   234.4 Å³/cell
# ρ   6.04 g cm⁻³

=====

# meta-GGA SCAN CaSiTc, PBEsol geometry
data_CaSiTc
_chemical_formula_sum 'Ca2 Si2 Tc2'
_cell_length_a 3.272
_cell_length_b 3.272
_cell_length_c 10.327
_cell_angle_alpha 90.00
_cell_angle_beta 90.00
_cell_angle_gamma 90.00
_symmetry_space_group_name_H-M 'I 4 m m'
_symmetry_Int_Tables_number 107
_symmetry_space_group_name_Hall 'I 4 -2'
loop_
_atom_site_label
_atom_site_type_symbol
_atom_site_fract_x
_atom_site_fract_y
_atom_site_fract_z
Ca1 Ca 0.000 0.000 0.000
Si1 Si 0.000 0.000 0.715
Tc1 Tc 0.000 0.000 0.286
# Spin magnetization   0.001 μB/atom
# V   110.5 Å³/cell
# ρ   4.99 g cm⁻³
# ΔE_f (raw)   -0.62 eV per formula unit

=====

# meta-GGA SCAN ScRe2As, PBEsol geometry
data_ScRe2As
_chemical_formula_sum 'Sc2 Re4 As2'
_cell_length_a 3.151
_cell_length_b 4.261
_cell_length_c 9.122
_cell_angle_alpha 90.00
_cell_angle_beta 90.00
_cell_angle_gamma 90.00
_symmetry_space_group_name_H-M 'I m m 2'
_symmetry_Int_Tables_number 44
_symmetry_space_group_name_Hall 'I 2 -2'
loop_
_atom_site_label
_atom_site_type_symbol
_atom_site_fract_x
_atom_site_fract_y
_atom_site_fract_z
Sc1 Sc 0.000 0.000 0.000
Re1 Re 0.000 0.000 0.494
Re2 Re 0.000 0.500 0.235
As1 As 0.000 0.500 0.767
# Spin magnetization   0.000 μB/atom
# Formation enthalpy at 0 K   -0.1 eV/f.u.
# V   122.5 Å³/cell
# ρ   13.35 g cm⁻³